## SrGeIrO5 (PBE)

Data for SrGeIrO5 after structural relaxation.

Computed properties:
Size of the total moment = 0.7 Bohr magnetons per cell
Formation energy (no corrections) = -1.684 eV/atom

Cell lengths 5.808, 5.808, 7.280 Å; angles 104.61, 104.61, 107.04 degrees
Element x y z (fractional)
Sr (0.161, 0.839, 0.750)
Sr (0.839, 0.161, 0.250)
Ge (0.193, 0.807, 0.250)
Ge (0.807, 0.193, 0.750)
Ir (0.500, 0.500, 0.000)
Ir (0.500, 0.500, 0.500)
O (0.118, 0.261, 0.927)
O (0.189, 0.601, 0.394)
O (0.261, 0.118, 0.427)
O (0.399, 0.811, 0.106)
O (0.429, 0.571, 0.750)
O (0.571, 0.429, 0.250)
O (0.601, 0.189, 0.894)
O (0.739, 0.882, 0.573)
O (0.811, 0.399, 0.606)
O (0.882, 0.739, 0.073)

## TlGeIrO6 (PBE)

Data for TlGeIrO6 after structural relaxation.

Computed properties:
Size of the total moment = 3.8 Bohr magnetons per cell
Formation energy (no corrections) = -0.971 eV/atom

Cell lengths 5.179, 5.179, 9.624 Å; angles 90.00, 90.00, 120.00 degrees
Element x y z (fractional)
Tl (0.000, 0.000, 0.000)
Tl (0.000, 0.000, 0.500)
Ge (0.333, 0.667, 0.250)
Ge (0.667, 0.333, 0.750)
Ir (0.333, 0.667, 0.750)
Ir (0.667, 0.333, 0.250)
O (0.006, 0.374, 0.140)
O (0.006, 0.633, 0.360)
O (0.367, 0.374, 0.360)
O (0.367, 0.994, 0.140)
O (0.374, 0.006, 0.640)
O (0.374, 0.367, 0.860)
O (0.626, 0.633, 0.140)
O (0.626, 0.994, 0.360)
O (0.633, 0.006, 0.860)
O (0.633, 0.626, 0.640)
O (0.994, 0.367, 0.640)
O (0.994, 0.626, 0.860)

## Ge2Ir2Os (PBE)

Data for Ge2Ir2Os after structural relaxation.

Computed properties:
Size of the total moment = 0.9 Bohr magnetons per cell
Calculated formation energy = 0.255 eV/atom

Cell lengths 7.250, 7.250, 2.834 Å; angles 90.00, 90.00, 90.00 degrees
Element x y z (fractional)
Ge (0.154, 0.346, 0.000)
Ge (0.346, 0.846, 0.000)
Ge (0.654, 0.154, 0.000)
Ge (0.846, 0.654, 0.000)
Ir (0.145, 0.645, 0.500)
Ir (0.355, 0.145, 0.500)
Ir (0.645, 0.855, 0.500)
Ir (0.855, 0.355, 0.500)
Os (0.000, 0.000, 0.000)
Os (0.500, 0.500, 0.000)

## GeIrOs (PBE)

Data for GeIrOs after structural relaxation.

Computed properties:
Size of the total moment = 0.0 Bohr magnetons per cell
Calculated formation energy = 0.149 eV/atom

Cell lengths 2.846, 2.846, 12.580 Å; angles 90.00, 90.00, 120.00 degrees
Element x y z (fractional)
Ge (0.000, 0.000, 0.160)
Ge (0.000, 0.000, 0.840)
Ir (0.667, 0.333, 0.330)
Ir (0.667, 0.333, 0.670)
Os (0.333, 0.667, 0.000)
Os (0.333, 0.667, 0.500)

## Ge6IrOs2 (PBE)

Data for Ge6IrOs2 after structural relaxation.

Computed properties:
Size of the total moment = 0.0 Bohr magnetons per cell
Calculated formation energy = -0.027 eV/atom

Cell lengths 6.095, 6.095, 9.746 Å; angles 90.00, 90.00, 90.00 degrees
Element x y z (fractional)
Ge (0.215, 0.215, 0.171)
Ge (0.215, 0.215, 0.829)
Ge (0.220, 0.220, 0.500)
Ge (0.280, 0.720, 0.000)
Ge (0.285, 0.715, 0.329)
Ge (0.285, 0.715, 0.671)
Ge (0.715, 0.285, 0.329)
Ge (0.715, 0.285, 0.671)
Ge (0.720, 0.280, 0.000)
Ge (0.780, 0.780, 0.500)
Ge (0.785, 0.785, 0.171)
Ge (0.785, 0.785, 0.829)
Ir (0.000, 0.000, 0.000)
Ir (0.500, 0.500, 0.500)
Os (0.000, 0.000, 0.341)
Os (0.000, 0.000, 0.659)
Os (0.500, 0.500, 0.159)
Os (0.500, 0.500, 0.841)

## GeIrOs3 (PBE)

Data for GeIrOs3 after structural relaxation.

Computed properties:
Size of the total moment = 0.0 Bohr magnetons per cell
Calculated formation energy = 1.989 eV/atom
Energy above the lowest structure with this stoichiometry = 0.0 meV/atom

Cell lengths 4.445, 4.445, 4.445 Å; angles 90.00, 90.00, 90.00 degrees
Element x y z (fractional)
Ge (0.000, 0.000, 0.000)
Ir (0.500, 0.500, 0.500)
Os (0.000, 0.000, 0.500)
Os (0.000, 0.500, 0.000)
Os (0.500, 0.000, 0.000)

## GeIrOs3 (PBE)

Data for GeIrOs3 after structural relaxation.

Computed properties:
Size of the total moment = 0.0 Bohr magnetons per cell
Calculated formation energy = 2.304 eV/atom
Energy above the lowest structure with this stoichiometry = 315.1 meV/atom

Cell lengths 4.733, 4.733, 4.733 Å; angles 90.00, 90.00, 90.00 degrees
Element x y z (fractional)
Ge (0.000, 0.000, 0.000)
Ir (0.500, 0.500, 0.500)
Os (0.000, 0.500, 0.500)
Os (0.500, 0.000, 0.500)
Os (0.500, 0.500, 0.000)

## GeIr3Os (PBE)

Data for GeIr3Os after structural relaxation.

Computed properties:
Size of the total moment = 0.0 Bohr magnetons per cell
Calculated formation energy = 1.709 eV/atom
Energy above the lowest structure with this stoichiometry = 0.0 meV/atom

Cell lengths 4.758, 4.758, 4.758 Å; angles 90.00, 90.00, 90.00 degrees
Element x y z (fractional)
Ge (0.000, 0.000, 0.000)
Ir (0.000, 0.500, 0.500)
Ir (0.500, 0.000, 0.500)
Ir (0.500, 0.500, 0.000)
Os (0.500, 0.500, 0.500)